[1]
# Sr2TeMo (GGA-PBE, relaxed)
data_Sr2TeMo
_cell_length_a 3.672
_cell_length_b 3.672
_cell_length_c 9.301
_cell_angle_alpha 90.00
_cell_angle_beta 90.00
_cell_angle_gamma 90.00
_symmetry_space_group_name_H-M 'P 1'
_symmetry_Int_Tables_number 1
loop_
_symmetry_equiv_pos_as_xyz
'x,y,z'
loop_
_atom_site_label
_atom_site_type_symbol
_atom_site_fract_x
_atom_site_fract_y
_atom_site_fract_z
Sr1 Sr 0.000 0.000 0.000
Sr2 Sr 0.500 0.500 0.391
Te1 Te 0.000 0.000 0.637
Mo1 Mo 0.500 0.500 0.753
# space-group type: No. 99
# formation energy without anion corrections: 0.076 eV per atom


[2]
# Be2Sn2O (GGA-PBE, relaxed)
data_Be2Sn2O
_cell_length_a 6.816
_cell_length_b 6.816
_cell_length_c 3.461
_cell_angle_alpha 90.00
_cell_angle_beta 90.00
_cell_angle_gamma 90.00
_symmetry_space_group_name_H-M 'P 1'
_symmetry_Int_Tables_number 1
loop_
_symmetry_equiv_pos_as_xyz
'x,y,z'
loop_
_atom_site_label
_atom_site_type_symbol
_atom_site_fract_x
_atom_site_fract_y
_atom_site_fract_z
Be1 Be 0.103 0.397 0.000
Be2 Be 0.397 0.897 0.000
Be3 Be 0.603 0.103 0.000
Be4 Be 0.897 0.603 0.000
Sn1 Sn 0.203 0.703 0.500
Sn2 Sn 0.297 0.203 0.500
Sn3 Sn 0.703 0.797 0.500
Sn4 Sn 0.797 0.297 0.500
O1 O 0.000 0.000 0.500
O2 O 0.500 0.500 0.500
# space-group type: No. 127
# distance to the lowest polymorph of the same formula: 0.0 meV/atom
# formation energy without anion corrections: 0.220 eV per atom


[3]
# SmEuHoGa (GGA-PBE, relaxed)
data_SmEuHoGa
_cell_length_a 5.398
_cell_length_b 5.398
_cell_length_c 5.398
_cell_angle_alpha 60.00
_cell_angle_beta 60.00
_cell_angle_gamma 60.00
_symmetry_space_group_name_H-M 'P 1'
_symmetry_Int_Tables_number 1
loop_
_symmetry_equiv_pos_as_xyz
'x,y,z'
loop_
_atom_site_label
_atom_site_type_symbol
_atom_site_fract_x
_atom_site_fract_y
_atom_site_fract_z
Sm1 Sm 0.000 0.000 0.000
Eu1 Eu 0.250 0.250 0.250
Ho1 Ho 0.500 0.500 0.500
Ga1 Ga 0.750 0.750 0.750
# space-group type: No. 216
# DFT formation energy: -6 kJ/mol of atoms


[4]
# GaBi3 (GGA-PBE, relaxed)
data_GaBi3
_cell_length_a 6.281
_cell_length_b 6.281
_cell_length_c 6.281
_cell_angle_alpha 135.83
_cell_angle_beta 135.83
_cell_angle_gamma 64.24
_symmetry_space_group_name_H-M 'P 1'
_symmetry_Int_Tables_number 1
loop_
_symmetry_equiv_pos_as_xyz
'x,y,z'
loop_
_atom_site_label
_atom_site_type_symbol
_atom_site_fract_x
_atom_site_fract_y
_atom_site_fract_z
Ga1 Ga 0.000 0.000 0.000
Bi1 Bi 0.250 0.750 0.500
Bi2 Bi 0.500 0.500 0.000
Bi3 Bi 0.750 0.250 0.500
# space-group type: No. 139
# distance to the lowest polymorph of the same formula: 42.1 meV/atom
# DFT formation energy: 13 kJ/mol of atoms


[5]
# Ca4ScIn (GGA-PBE, relaxed)
data_Ca4ScIn
_cell_length_a 6.670
_cell_length_b 6.670
_cell_length_c 6.670
_cell_angle_alpha 60.00
_cell_angle_beta 60.00
_cell_angle_gamma 60.00
_symmetry_space_group_name_H-M 'P 1'
_symmetry_Int_Tables_number 1
loop_
_symmetry_equiv_pos_as_xyz
'x,y,z'
loop_
_atom_site_label
_atom_site_type_symbol
_atom_site_fract_x
_atom_site_fract_y
_atom_site_fract_z
Ca1 Ca 0.125 0.125 0.125
Ca2 Ca 0.125 0.125 0.624
Ca3 Ca 0.125 0.624 0.125
Ca4 Ca 0.624 0.125 0.125
Sc1 Sc 0.500 0.500 0.500
In1 In 0.750 0.750 0.750
# space-group type: No. 216
# DFT formation energy: 33 kJ/mol of atoms


[6]
# LaReP2 (GGA-PBE, relaxed)
data_LaReP2
_cell_length_a 4.920
_cell_length_b 4.920
_cell_length_c 4.920
_cell_angle_alpha 131.53
_cell_angle_beta 109.64
_cell_angle_gamma 90.05
_symmetry_space_group_name_H-M 'P 1'
_symmetry_Int_Tables_number 1
loop_
_symmetry_equiv_pos_as_xyz
'x,y,z'
loop_
_atom_site_label
_atom_site_type_symbol
_atom_site_fract_x
_atom_site_fract_y
_atom_site_fract_z
La1 La 0.000 0.000 0.000
Re1 Re 0.500 0.500 0.000
P1 P 0.316 0.816 0.500
P2 P 0.684 0.184 0.500
# space-group type: No. 71
# distance to the lowest polymorph of the same formula: 326.7 meV/atom
# DFT formation energy: -45 kJ/mol of atoms


[7]
# Pr6In2Ir (GGA-PBE, relaxed)
data_Pr6In2Ir
_cell_length_a 8.985
_cell_length_b 8.985
_cell_length_c 3.955
_cell_angle_alpha 90.00
_cell_angle_beta 90.00
_cell_angle_gamma 120.00
_symmetry_space_group_name_H-M 'P 1'
_symmetry_Int_Tables_number 1
loop_
_symmetry_equiv_pos_as_xyz
'x,y,z'
loop_
_atom_site_label
_atom_site_type_symbol
_atom_site_fract_x
_atom_site_fract_y
_atom_site_fract_z
Pr1 Pr 0.000 0.397 0.000
Pr2 Pr 0.000 0.758 0.500
Pr3 Pr 0.242 0.242 0.500
Pr4 Pr 0.397 0.000 0.000
Pr5 Pr 0.603 0.603 0.000
Pr6 Pr 0.758 0.000 0.500
In1 In 0.333 0.667 0.500
In2 In 0.667 0.333 0.500
Ir1 Ir 0.000 0.000 0.000
# space-group type: No. 189
# DFT formation energy: -39 kJ/mol of atoms


[8]
# KWSeBr2 (GGA-PBE, relaxed)
data_KWSeBr2
_cell_length_a 5.736
_cell_length_b 5.736
_cell_length_c 5.854
_cell_angle_alpha 90.00
_cell_angle_beta 90.00
_cell_angle_gamma 90.00
_symmetry_space_group_name_H-M 'P 1'
_symmetry_Int_Tables_number 1
loop_
_symmetry_equiv_pos_as_xyz
'x,y,z'
loop_
_atom_site_label
_atom_site_type_symbol
_atom_site_fract_x
_atom_site_fract_y
_atom_site_fract_z
K1 K 0.000 0.000 0.000
W1 W 0.500 0.500 0.500
Se1 Se 0.000 0.000 0.500
Br1 Br 0.000 0.500 0.000
Br2 Br 0.500 0.000 0.000
# space-group type: No. 123
# distance to the lowest polymorph of the same formula: 1688.6 meV/atom
# formation energy without anion corrections: 1.316 eV per atom


[9]
# DyAs2Pd5 (GGA-PBE, relaxed)
data_DyAs2Pd5
_cell_length_a 6.333
_cell_length_b 6.333
_cell_length_c 6.333
_cell_angle_alpha 142.51
_cell_angle_beta 109.69
_cell_angle_gamma 82.51
_symmetry_space_group_name_H-M 'P 1'
_symmetry_Int_Tables_number 1
loop_
_symmetry_equiv_pos_as_xyz
'x,y,z'
loop_
_atom_site_label
_atom_site_type_symbol
_atom_site_fract_x
_atom_site_fract_y
_atom_site_fract_z
Dy1 Dy 0.000 0.000 0.000
As1 As 0.243 0.743 0.500
As2 As 0.757 0.257 0.500
Pd1 Pd 0.157 0.352 0.805
Pd2 Pd 0.453 0.648 0.805
Pd3 Pd 0.500 0.000 0.500
Pd4 Pd 0.547 0.352 0.195
Pd5 Pd 0.843 0.648 0.195
# space-group type: No. 71
# DFT formation energy: -59 kJ/mol of atoms


[10]
# TaFePdPb2 (GGA-PBE, relaxed)
data_TaFePdPb2
_cell_length_a 4.889
_cell_length_b 4.889
_cell_length_c 4.600
_cell_angle_alpha 90.00
_cell_angle_beta 90.00
_cell_angle_gamma 90.00
_symmetry_space_group_name_H-M 'P 1'
_symmetry_Int_Tables_number 1
loop_
_symmetry_equiv_pos_as_xyz
'x,y,z'
loop_
_atom_site_label
_atom_site_type_symbol
_atom_site_fract_x
_atom_site_fract_y
_atom_site_fract_z
Ta1 Ta 0.000 0.000 0.000
Fe1 Fe 0.500 0.500 0.500
Pd1 Pd 0.500 0.500 0.000
Pb1 Pb 0.000 0.500 0.500
Pb2 Pb 0.500 0.000 0.500
# space-group type: No. 123
# DFT formation energy: 119 kJ/mol of atoms


[11]
# LiMnIn2Br5 (GGA-PBE, relaxed)
data_LiMnIn2Br5
_cell_length_a 9.616
_cell_length_b 9.616
_cell_length_c 14.350
_cell_angle_alpha 90.00
_cell_angle_beta 90.00
_cell_angle_gamma 155.42
_symmetry_space_group_name_H-M 'P 1'
_symmetry_Int_Tables_number 1
loop_
_symmetry_equiv_pos_as_xyz
'x,y,z'
loop_
_atom_site_label
_atom_site_type_symbol
_atom_site_fract_x
_atom_site_fract_y
_atom_site_fract_z
Li1 Li 0.064 0.936 0.500
Li2 Li 0.936 0.064 0.000
Mn1 Mn 0.288 0.712 0.081
Mn2 Mn 0.712 0.288 0.581
In1 In 0.369 0.631 0.365
In2 In 0.404 0.596 0.718
In3 In 0.596 0.404 0.218
In4 In 0.631 0.369 0.865
Br1 Br 0.001 0.999 0.847
Br2 Br 0.148 0.852 0.053
Br3 Br 0.196 0.804 0.454
Br4 Br 0.223 0.777 0.707
Br5 Br 0.434 0.566 0.103
Br6 Br 0.566 0.434 0.603
Br7 Br 0.777 0.223 0.207
Br8 Br 0.804 0.196 0.954
Br9 Br 0.852 0.148 0.553
Br10 Br 0.999 0.001 0.347
# space-group type: No. 36
# formation energy without anion corrections: -0.882 eV per atom


[12]
# PmUSiGe (GGA-PBE, relaxed)
data_PmUSiGe
_cell_length_a 5.029
_cell_length_b 5.029
_cell_length_c 5.029
_cell_angle_alpha 60.00
_cell_angle_beta 60.00
_cell_angle_gamma 60.00
_symmetry_space_group_name_H-M 'P 1'
_symmetry_Int_Tables_number 1
loop_
_symmetry_equiv_pos_as_xyz
'x,y,z'
loop_
_atom_site_label
_atom_site_type_symbol
_atom_site_fract_x
_atom_site_fract_y
_atom_site_fract_z
Pm1 Pm 0.000 0.000 0.000
U1 U 0.500 0.500 0.500
Si1 Si 0.750 0.750 0.750
Ge1 Ge 0.250 0.250 0.250
# space-group type: No. 216
# formation energy without anion corrections: -0.218 eV per atom


[13]
# BaBe2Re (GGA-PBE, relaxed)
data_BaBe2Re
_cell_length_a 4.898
_cell_length_b 4.898
_cell_length_c 2.828
_cell_angle_alpha 93.80
_cell_angle_beta 93.80
_cell_angle_gamma 94.00
_symmetry_space_group_name_H-M 'P 1'
_symmetry_Int_Tables_number 1
loop_
_symmetry_equiv_pos_as_xyz
'x,y,z'
loop_
_atom_site_label
_atom_site_type_symbol
_atom_site_fract_x
_atom_site_fract_y
_atom_site_fract_z
Ba1 Ba 0.000 0.000 0.000
Be1 Be 0.000 0.500 0.500
Be2 Be 0.500 0.000 0.500
Re1 Re 0.500 0.500 0.000
# space-group type: No. 12
# distance to the lowest polymorph of the same formula: 741.0 meV/atom
# DFT formation energy: 112 kJ/mol of atoms


[14]
# Ba2GaTcCl (GGA-PBE, relaxed)
data_Ba2GaTcCl
_cell_length_a 5.886
_cell_length_b 5.886
_cell_length_c 4.819
_cell_angle_alpha 90.00
_cell_angle_beta 90.00
_cell_angle_gamma 90.00
_symmetry_space_group_name_H-M 'P 1'
_symmetry_Int_Tables_number 1
loop_
_symmetry_equiv_pos_as_xyz
'x,y,z'
loop_
_atom_site_label
_atom_site_type_symbol
_atom_site_fract_x
_atom_site_fract_y
_atom_site_fract_z
Ba1 Ba 0.000 0.500 0.000
Ba2 Ba 0.500 0.000 0.000
Ga1 Ga 0.000 0.000 0.500
Tc1 Tc 0.000 0.000 0.000
Cl1 Cl 0.500 0.500 0.500
# space-group type: No. 123
# formation energy without anion corrections: -0.410 eV per atom


Per-record total magnetic moment, μB per cell: 0.00, 0.00, 7.52, 0.00, 2.04, 0.00, 0.00, 3.00, 0.00, 1.03, 9.99, 3.02, 0.00, 0.00
Per-record calculated volume, A^3/atom: 31.35, 16.08, 27.81, 29.66, 34.97, 19.90, 30.73, 38.52, 17.67, 21.99, 30.67, 22.49, 16.84, 33.39
Per-record DOS(E_F), states/eV per cell: 3.762, 4.153, 5.533, 1.993, 8.523, 3.213, 10.820, 8.593, 4.162, 8.100, 0.000, 5.838, 2.926, 3.165